Density functional theory data (PBE+U) for ScVI2O after structural relaxation.

Cell and atoms, written as POSCAR:
```
ScVI2O
1.0
5.949 0.000 0.000
0.000 5.949 0.000
0.000 0.000 3.874
Sc V I O
1 1 2 1
Direct
0.000 0.000 0.000 Sc
0.500 0.500 0.500 V
0.000 0.500 0.000 I
0.500 0.000 0.000 I
0.000 0.000 0.500 O
```

## Properties
crystal system: tetragonal
calculated volume: 137.1 Å³/cell
magnetization: 4.0 μB per cell
symmetry: No. 123
total energy: -26.26 eV for the cell shown
distance to the lowest polymorph of the same formula: 0.0 kJ/mol of formula units